[1]
Entry from Alexandria: an optimized crystal structure of LiYNi (PBE-GGA).

Unit cell a=3.7997 b=7.1249 c=12.4231 alpha=90.92 beta=90.00 gamma=90.00
With the nearest neighbours (Å) after each atom.
Sites, in units of the cell vectors:
1 Li 0.2500 0.3727 0.1977  4 Ni 2.56-2.82
2 Li 0.2500 0.0125 0.0790  4 Ni 2.58-2.80, 2 Li 2.73
3 Li 0.2500 0.8732 0.4636  4 Ni 2.62-2.81, 2 Li 2.76
4 Li 0.7500 0.9875 0.9210  4 Ni 2.58-2.80, 2 Li 2.73
5 Li 0.7500 0.6273 0.8023  4 Ni 2.56-2.82
6 Li 0.7500 0.1268 0.5364  4 Ni 2.62-2.81, 2 Li 2.76
7 Y 0.7500 0.5478 0.3771  5 Ni 2.85-2.93, 4 Li 3.17
8 Y 0.7500 0.0547 0.2841  5 Ni 2.86-2.97, 5 Li 3.16-3.19
9 Y 0.7500 0.6582 0.0849  5 Ni 2.83-2.87, 5 Li 3.13-3.16
10 Y 0.2500 0.3418 0.9151  5 Ni 2.83-2.87, 5 Li 3.13-3.16
11 Y 0.2500 0.9453 0.7159  5 Ni 2.86-2.97, 5 Li 3.16-3.19
12 Y 0.2500 0.4522 0.6229  5 Ni 2.85-2.93, 4 Li 3.17
13 Ni 0.2500 0.2565 0.4132  4 Li 2.62-2.82, 4 Y 2.85-2.86
14 Ni 0.7500 0.7435 0.5868  4 Li 2.62-2.82, 4 Y 2.85-2.86
15 Ni 0.7500 0.2412 0.7511  3 Li 2.78-2.81, 6 Y 2.87-2.91
16 Ni 0.7500 0.2565 0.0763  5 Li 2.56-2.70, 2 Y 2.83
17 Ni 0.2500 0.7588 0.2489  3 Li 2.78-2.81, 6 Y 2.87-2.91
18 Ni 0.2500 0.7435 0.9237  5 Li 2.56-2.70, 2 Y 2.83

Properties
E_form (eV per atom): -0.203
Energy relative to the lowest polymorph listed for this composition (eV per formula unit): 0.00
Size of the total moment (μB per atom): 0.000

=====

[2]
Entry from Alexandria: an optimized crystal structure of Sb2TeSeI (PBE-GGA).

Unit cell a=5.5971 b=5.5971 c=5.4366 alpha=90.00 beta=90.00 gamma=90.00
With the nearest neighbours (Å) after each atom.
Sites, in units of the cell vectors:
1 Sb 0.5000 0.0000 0.0000  2 Se 2.80
2 Sb 0.0000 0.5000 0.0000  2 Se 2.80
3 Se 0.0000 0.0000 0.0000  2 Te 2.72, 4 Sb 2.80
4 I 0.5000 0.5000 0.5000  8 Sb 3.90, 4 Te 3.96
5 Te 0.0000 0.0000 0.5000  2 Se 2.72

Properties
Raw formation energy (eV per atom): 0.560
Energy relative to the lowest polymorph listed for this composition (eV per formula unit): 0.00
Size of the total moment (μB per atom): 0.000

=====

[3]
Entry from Alexandria: an optimized crystal structure of SnAs2Se4 (PBE-GGA).

Unit cell a=3.9135 b=6.8149 c=13.6746 alpha=90.00 beta=90.00 gamma=106.69
With the nearest neighbours (Å) after each atom.
Sites, in units of the cell vectors:
1 Sn 0.4266 0.8531 0.2500  2 Se 2.73
2 Sn 0.5734 0.1469 0.7500  2 Se 2.73
3 As 0.8574 0.7148 0.9452  6 Se 2.59-2.82
4 As 0.8574 0.7148 0.5548  6 Se 2.59-2.82
5 As 0.1426 0.2852 0.4452  6 Se 2.59-2.82
6 As 0.1426 0.2852 0.0548  6 Se 2.59-2.82
7 Se 0.9273 0.8547 0.7500  2 Sn 2.73, 2 As 2.82
8 Se 0.0727 0.1453 0.2500  2 Sn 2.73, 2 As 2.82
9 Se 0.2319 0.4637 0.6142  3 As 2.59-2.68
10 Se 0.5000 0.0000 0.0000  4 As 2.80
11 Se 0.7681 0.5363 0.1142  3 As 2.59-2.68
12 Se 0.7681 0.5363 0.3858  3 As 2.59-2.68
13 Se 0.2319 0.4637 0.8858  3 As 2.59-2.68
14 Se 0.5000 0.0000 0.5000  4 As 2.80

Properties
Raw formation energy (eV per atom): -0.169
Size of the total moment (μB per atom): 0.000

=====

[4]
Entry from Alexandria: an optimized crystal structure of InW2Br (PBE-GGA).

Unit cell a=5.3826 b=5.3826 c=2.8923 alpha=90.00 beta=90.00 gamma=116.14
With the nearest neighbours (Å) after each atom.
Sites, in units of the cell vectors:
1 W 0.0000 0.0000 0.0000  4 W 2.85-2.89, 4 In 3.06, 4 Br 3.06
2 W 0.5000 0.5000 0.0000  4 W 2.85-2.89, 4 Br 3.06, 4 In 3.06
3 In 0.0000 0.5000 0.5000  2 Br 2.85, 2 In 2.89, 8 W 3.06
4 Br 0.5000 0.0000 0.5000  2 In 2.85, 2 Br 2.89, 8 W 3.06

Properties
Raw formation energy (eV per atom): 1.379
Energy relative to the lowest polymorph listed for this composition (eV per formula unit): 4.19
Size of the total moment (μB per atom): 0.000

=====

[5]
Entry from Alexandria: an optimized crystal structure of Sm12Bi3N5 (PBE-GGA).

Unit cell a=13.9661 b=13.9661 c=13.9661 alpha=109.47 beta=109.47 gamma=109.47
With the nearest neighbours (Å) after each atom.
Sites, in units of the cell vectors:
1 Bi 0.3750 0.7500 0.6250  8 Sm 3.23-3.34
2 Bi 0.7500 0.3750 0.1250  8 Sm 3.23-3.34
3 Bi 0.2500 0.6250 0.8750  8 Sm 3.23-3.34
4 Bi 0.6250 0.2500 0.3750  8 Sm 3.23-3.34
5 Bi 0.6250 0.3750 0.7500  8 Sm 3.23-3.34
6 Bi 0.8750 0.1250 0.2500  8 Sm 3.23-3.34
7 Bi 0.1250 0.2500 0.8750  8 Sm 3.23-3.34
8 Bi 0.3750 0.6250 0.2500  8 Sm 3.23-3.34
9 Bi 0.2500 0.1250 0.3750  8 Sm 3.23-3.34
10 Bi 0.1250 0.8750 0.7500  8 Sm 3.23-3.34
11 Bi 0.7500 0.8750 0.6250  8 Sm 3.23-3.34
12 Bi 0.8750 0.7500 0.1250  8 Sm 3.23-3.34
13 N 0.8750 0.6250 0.7500  4 Sm 2.29
14 N 0.6250 0.7500 0.8750  4 Sm 2.29
15 N 0.2500 0.3750 0.6250  4 Sm 2.29
16 N 0.1250 0.3750 0.2500  4 Sm 2.29
17 N 0.8750 0.2500 0.6250  4 Sm 2.29
18 N 0.5000 0.5000 0.0000  6 Sm 2.57
19 N 0.0000 0.5000 0.5000  6 Sm 2.57
20 N 0.0000 0.0000 0.0000  6 Sm 2.57
21 N 0.0000 0.0000 0.5000  6 Sm 2.57
22 N 0.5000 0.0000 0.5000  6 Sm 2.57
23 N 0.5000 0.0000 0.0000  6 Sm 2.57
24 N 0.1250 0.7500 0.3750  4 Sm 2.29
25 N 0.0000 0.5000 0.0000  6 Sm 2.57
26 N 0.7500 0.1250 0.8750  4 Sm 2.29
27 N 0.5000 0.5000 0.5000  6 Sm 2.57
28 N 0.3750 0.2500 0.1250  4 Sm 2.29
29 N 0.2500 0.8750 0.1250  4 Sm 2.29
30 N 0.3750 0.1250 0.7500  4 Sm 2.29
31 N 0.7500 0.6250 0.3750  4 Sm 2.29
32 N 0.6250 0.8750 0.2500  4 Sm 2.29
33 Sm 0.0877 0.1865 0.1947  1 N 2.29
34 Sm 0.0081 0.6069 0.6947  1 N 2.29
35 Sm 0.0988 0.1865 0.4919  1 N 2.29
36 Sm 0.3931 0.9919 0.8053  1 N 2.29
37 Sm 0.4012 0.3931 0.5877  1 N 2.29
38 Sm 0.6865 0.1947 0.5877  1 N 2.29
39 Sm 0.9919 0.3931 0.3053  1 N 2.29
40 Sm 0.8053 0.3135 0.9123  1 N 2.29
41 Sm 0.1947 0.5081 0.6069  1 N 2.29
42 Sm 0.6865 0.4919 0.5988  1 N 2.29
43 Sm 0.9012 0.0877 0.8931  1 N 2.29
44 Sm 0.8135 0.9123 0.3053  1 N 2.29
45 Sm 0.0877 0.9012 0.3931  1 N 2.29
46 Sm 0.1069 0.4123 0.0988  1 N 2.29
47 Sm 0.6947 0.5877 0.1865  1 N 2.29
48 Sm 0.3931 0.4012 0.0877  1 N 2.29
49 Sm 0.8931 0.3053 0.4919  1 N 2.29
50 Sm 0.6069 0.5988 0.9123  1 N 2.29
51 Sm 0.1069 0.6947 0.5081  1 N 2.29
52 Sm 0.3135 0.5081 0.4012  1 N 2.29
53 Sm 0.5877 0.6947 0.6865  1 N 2.29
54 Sm 0.5081 0.1947 0.1069  1 N 2.29
55 Sm 0.9123 0.0988 0.6069  1 N 2.29
56 Sm 0.4919 0.6865 0.0988  1 N 2.29
57 Sm 0.5988 0.9919 0.6865  1 N 2.29
58 Sm 0.1865 0.0988 0.9919  1 N 2.29
59 Sm 0.5081 0.3135 0.9012  1 N 2.29
60 Sm 0.3053 0.4123 0.8135  1 N 2.29
61 Sm 0.4012 0.0081 0.3135  1 N 2.29
62 Sm 0.5988 0.6069 0.4123  1 N 2.29
63 Sm 0.8135 0.9012 0.0081  1 N 2.29
64 Sm 0.3135 0.8053 0.4123  1 N 2.29
65 Sm 0.0081 0.4012 0.8135  1 N 2.29
66 Sm 0.3053 0.8931 0.9919  1 N 2.29
67 Sm 0.5877 0.8931 0.4012  1 N 2.29
68 Sm 0.8053 0.4919 0.3931  1 N 2.29
69 Sm 0.0988 0.9123 0.1069  1 N 2.29
70 Sm 0.6069 0.0081 0.1947  1 N 2.29
71 Sm 0.8931 0.5877 0.9012  1 N 2.29
72 Sm 0.6947 0.1069 0.0081  1 N 2.29
73 Sm 0.4123 0.1069 0.5988  1 N 2.29
74 Sm 0.9012 0.8135 0.5081  1 N 2.29
75 Sm 0.9919 0.5988 0.1865  1 N 2.29
76 Sm 0.4123 0.3053 0.3135  1 N 2.29
77 Sm 0.4919 0.8053 0.8931  1 N 2.29
78 Sm 0.1865 0.0877 0.6947  1 N 2.29
79 Sm 0.9123 0.8135 0.8053  1 N 2.29
80 Sm 0.1947 0.6865 0.0877  1 N 2.29

Properties
Raw formation energy (eV per atom): -0.884
Size of the total moment (μB per atom): 0.103

=====

[6]
Entry from Alexandria: an optimized crystal structure of ThTl2S2Cl2 (PBE-GGA).

Unit cell a=5.4972 b=5.4972 c=8.9221 alpha=107.94 beta=107.94 gamma=90.00
With the nearest neighbours (Å) after each atom.
Sites, in units of the cell vectors:
1 Tl 0.3771 0.3771 0.7542  1 Cl 3.34, 4 S 3.38
2 Tl 0.6229 0.6229 0.2458  1 Cl 3.34, 4 S 3.38
3 S 0.5000 0.0000 0.0000  2 Th 2.75
4 S 0.0000 0.5000 0.0000  2 Th 2.75
5 Cl 0.1692 0.1692 0.3384  1 Th 2.72
6 Cl 0.8308 0.8308 0.6616  1 Th 2.72
7 Th 0.0000 0.0000 0.0000  2 Cl 2.72, 4 S 2.75

Properties
Raw formation energy (eV per atom): -1.395
Size of the total moment (μB per atom): 0.000

=====

[7]
Entry from Alexandria: an optimized crystal structure of HgS3O9 (PBE-GGA).

Unit cell a=8.8222 b=8.8222 c=7.1434 alpha=90.00 beta=90.00 gamma=99.24
With the nearest neighbours (Å) after each atom.
Sites, in units of the cell vectors:
1 O 0.1639 0.9917 0.9422  2 S 1.64-1.66
2 O 0.1809 0.7219 0.9662  1 S 1.42
3 O 0.0873 0.6091 0.3896  1 S 1.42
4 O 0.8191 0.2781 0.4662  1 S 1.42
5 O 0.8361 0.0083 0.4422  2 S 1.64-1.66
6 O 0.1262 0.8738 0.2500  2 S 1.66
7 O 0.9917 0.1639 0.0578  2 S 1.64-1.66
8 O 0.2061 0.2574 0.8296  1 S 1.42
9 O 0.2574 0.2061 0.1704  1 S 1.42
10 O 0.6091 0.0873 0.6104  1 S 1.42
11 O 0.0083 0.8361 0.5578  2 S 1.64-1.66
12 O 0.7426 0.7939 0.6704  1 S 1.42
13 O 0.7219 0.1809 0.0338  1 S 1.42
14 O 0.9127 0.3909 0.8896  1 S 1.42
15 O 0.7939 0.7426 0.3296  1 S 1.42
16 O 0.2781 0.8191 0.5338  1 S 1.42
17 O 0.3909 0.9127 0.1104  1 S 1.42
18 O 0.8738 0.1262 0.7500  2 S 1.66
19 S 0.8241 0.8241 0.5000  2 O 1.42
20 S 0.1759 0.1759 0.0000  2 O 1.42
21 S 0.2351 0.8606 0.0626  2 O 1.42
22 S 0.1394 0.7649 0.4374  2 O 1.42
23 S 0.7649 0.1394 0.5626  2 O 1.42
24 S 0.8606 0.2351 0.9374  2 O 1.42
25 Hg 0.5390 0.5390 0.0000  8 O 3.54-3.82, 2 Hg 3.68
26 Hg 0.4610 0.4610 0.5000  8 O 3.54-3.82, 2 Hg 3.68

Properties
Raw formation energy (eV per atom): -0.939
Size of the total moment (μB per atom): 0.000

=====

[8]
Entry from Alexandria: an optimized crystal structure of Mg2SbTe (PBE-GGA).

Unit cell a=3.2214 b=3.2214 c=10.4754 alpha=90.00 beta=90.00 gamma=94.69
With the nearest neighbours (Å) after each atom.
Sites, in units of the cell vectors:
1 Te 0.5000 0.5000 0.8008  4 Mg 3.13-3.27, 4 Te 3.22
2 Sb 0.0000 0.0000 0.4458  4 Mg 3.08-3.22, 4 Sb 3.22
3 Mg 0.0000 0.0000 0.0153  4 Te 3.13-3.27, 8 Mg 3.19-3.33
4 Mg 0.5000 0.5000 0.2381  4 Sb 3.08-3.22, 8 Mg 3.19-3.33

Properties
Raw formation energy (eV per atom): -0.073
Energy relative to the lowest polymorph listed for this composition (eV per formula unit): 1.58
Size of the total moment (μB per atom): 0.000

=====

[9]
Entry from Alexandria: an optimized crystal structure of Pu2Be3Si4Pd (PBE-GGA).

Unit cell a=3.9274 b=3.9274 c=9.7773 alpha=90.00 beta=90.00 gamma=90.00
With the nearest neighbours (Å) after each atom.
Sites, in units of the cell vectors:
1 Si 0.5000 0.5000 0.0000  4 Be 2.33
2 Si 0.5000 0.0000 0.6439  3 Be 2.24-2.42, 2 Pd 2.42
3 Si 0.0000 0.0000 0.0000  4 Be 2.33
4 Si 0.0000 0.5000 0.3561  3 Be 2.24-2.42, 2 Pd 2.42
5 Pu 0.0000 0.5000 0.7649  6 Be 2.97-3.25, 8 Si 3.02, 2 Pd 3.25
6 Pu 0.5000 0.0000 0.2351  6 Be 2.97-3.25, 8 Si 3.02, 2 Pd 3.25
7 Be 0.0000 0.5000 0.1273  5 Si 2.24-2.33
8 Be 0.0000 0.0000 0.5000  4 Si 2.42
9 Be 0.5000 0.0000 0.8727  5 Si 2.24-2.33
10 Pd 0.5000 0.5000 0.5000  4 Si 2.42

Properties
Raw formation energy (eV per atom): -0.415
Size of the total moment (μB per atom): 1.055

=====

What did the eighth record say?
Entry from Alexandria: an optimized crystal structure of Mg2SbTe (PBE-GGA).

Unit cell a=3.2214 b=3.2214 c=10.4754 alpha=90.00 beta=90.00 gamma=94.69
With the nearest neighbours (Å) after each atom.
Sites, in units of the cell vectors:
1 Te 0.5000 0.5000 0.8008  4 Mg 3.13-3.27, 4 Te 3.22
2 Sb 0.0000 0.0000 0.4458  4 Mg 3.08-3.22, 4 Sb 3.22
3 Mg 0.0000 0.0000 0.0153  4 Te 3.13-3.27, 8 Mg 3.19-3.33
4 Mg 0.5000 0.5000 0.2381  4 Sb 3.08-3.22, 8 Mg 3.19-3.33

Properties
Raw formation energy (eV per atom): -0.073
Energy relative to the lowest polymorph listed for this composition (eV per formula unit): 1.58
Size of the total moment (μB per atom): 0.000

=====

- Look up the size of the total moment of the first one.
  0.000 μB per atom

=====

- The highest size of the total moment belongs to which entry?
  Pu2Be3Si4Pd

=====

- Among the records above, which one has the highest size of the total moment?
  Pu2Be3Si4Pd